Si4AsIr: relaxed, PBE.

a = 5.0739 Å, b = 5.0739 Å, c = 5.0739 Å
α = 60.00°, β = 60.00°, γ = 60.00°
Closest atoms and distances in Å follow each position.
Fractional coordinates of all 6 atoms:
1 Si 0.1246 0.1246 0.1246  6 Si 2.53-2.54
2 Si 0.1246 0.1246 0.6261  6 Si 2.53-2.54
3 Si 0.1246 0.6261 0.1246  6 Si 2.53-2.54
4 Si 0.6261 0.1246 0.1246  6 Si 2.53-2.54
5 As 0.7500 0.7500 0.7500  12 Si 2.97, 4 Ir 3.11
6 Ir 0.5000 0.5000 0.5000  12 Si 2.98, 4 As 3.11

Values from the calculation:
Raw formation energy ... 691 meV/atom